1.
{"formula": "Dy5Ho5Tm2", "functional": "PBE", "state": "relaxed", "e_form_kj_per_mol_atoms": 7.00, "sg": "C2/m, No. 12", "final_energy_ev_per_atom": -4.50, "lattice": [[5.925, -2.777, 0.000], [5.925, 2.777, 0.000], [-3.743, 0.000, 11.225]], "species": ["Dy", "Dy", "Dy", "Dy", "Dy", "Ho", "Ho", "Ho", "Ho", "Ho", "Tm", "Tm"], "fractional_positions": [[0.000, 0.000, 0.000], [0.046, 0.046, 0.705], [0.212, 0.212, 0.538], [0.788, 0.788, 0.462], [0.954, 0.954, 0.295], [0.249, 0.249, 0.249], [0.289, 0.289, 0.960], [0.500, 0.500, 0.500], [0.711, 0.711, 0.040], [0.751, 0.751, 0.751], [0.457, 0.457, 0.794], [0.543, 0.543, 0.206]]}

2.
{"formula": "RbCS2", "functional": "PBE", "state": "relaxed", "sg": "R-3m, No. 166", "final_energy_ev_per_atom": -4.62, "raw_formation_energy_mev_per_atom": -3.8, "lattice": [[5.571, 0.000, 0.000], [-2.786, 4.825, 0.000], [0.000, 0.000, 16.755]], "species": ["Rb", "Rb", "Rb", "C", "C", "C", "S", "S", "S", "S", "S", "S"], "fractional_positions": [[0.000, 0.000, 0.000], [0.333, 0.667, 0.667], [0.667, 0.333, 0.333], [0.000, 0.000, 0.500], [0.333, 0.667, 0.167], [0.667, 0.333, 0.833], [0.000, 0.000, 0.404], [0.000, 0.000, 0.596], [0.333, 0.667, 0.071], [0.333, 0.667, 0.262], [0.667, 0.333, 0.738], [0.667, 0.333, 0.929]]}

3.
{"formula": "CaPrTlGa", "functional": "PBE", "state": "relaxed", "e_form_kj_per_mol_atoms": -40.65, "sg": "F-43m, No. 216", "final_energy_ev_per_atom": -3.46, "lattice": [[7.638, 0.000, 0.000], [0.000, 7.638, 0.000], [0.000, 0.000, 7.638]], "species": ["Ca", "Ca", "Ca", "Ca", "Pr", "Pr", "Pr", "Pr", "Tl", "Tl", "Tl", "Tl", "Ga", "Ga", "Ga", "Ga"], "fractional_positions": [[0.000, 0.000, 0.000], [0.000, 0.500, 0.500], [0.500, 0.000, 0.500], [0.500, 0.500, 0.000], [0.000, 0.000, 0.500], [0.000, 0.500, 0.000], [0.500, 0.000, 0.000], [0.500, 0.500, 0.500], [0.250, 0.250, 0.250], [0.250, 0.750, 0.750], [0.750, 0.250, 0.750], [0.750, 0.750, 0.250], [0.250, 0.250, 0.750], [0.250, 0.750, 0.250], [0.750, 0.250, 0.250], [0.750, 0.750, 0.750]]}

4.
{"formula": "Li2Cu2Cl5", "functional": "PBE", "state": "relaxed", "sg": "Ima2, No. 46", "final_energy_ev_per_atom": -3.40, "raw_formation_energy_mev_per_atom": -1034.5, "lattice": [[-8.414, 3.235, 3.326], [8.414, -3.235, 3.326], [8.414, 3.235, -3.326]], "species": ["Li", "Li", "Li", "Li", "Cu", "Cu", "Cu", "Cu", "Cl", "Cl", "Cl", "Cl", "Cl", "Cl", "Cl", "Cl", "Cl", "Cl"], "fractional_positions": [[0.027, 0.127, 0.154], [0.027, 0.373, 0.400], [0.973, 0.627, 0.600], [0.973, 0.873, 0.846], [0.371, 0.371, 0.000], [0.371, 0.871, 0.500], [0.449, 0.745, 0.204], [0.542, 0.245, 0.796], [0.232, 0.003, 0.518], [0.232, 0.214, 0.729], [0.359, 0.077, 0.208], [0.359, 0.652, 0.782], [0.485, 0.503, 0.271], [0.485, 0.714, 0.482], [0.730, 0.095, 0.135], [0.870, 0.152, 0.792], [0.870, 0.577, 0.218], [0.959, 0.595, 0.865]]}

5.
{"formula": "GaIrSeN2", "functional": "PBE", "state": "relaxed", "sg": "P4/mmm, No. 123", "final_energy_ev_per_atom": -5.72, "raw_formation_energy_mev_per_atom": 686.3, "lattice": [[3.806, 0.000, 0.000], [0.000, 3.806, 0.000], [0.000, 0.000, 5.615]], "species": ["Ga", "Ir", "Se", "N", "N"], "fractional_positions": [[0.000, 0.000, 0.000], [0.500, 0.500, 0.500], [0.500, 0.500, 0.000], [0.000, 0.500, 0.500], [0.500, 0.000, 0.500]]}

6.
{"formula": "Cd2CuCl", "functional": "PBE", "state": "relaxed", "sg": "Imm2, No. 44", "final_energy_ev_per_atom": -2.02, "raw_formation_energy_mev_per_atom": -72.1, "lattice": [[3.145, 0.000, 0.000], [0.000, 5.794, 0.000], [0.000, 0.000, 9.519]], "species": ["Cd", "Cd", "Cd", "Cd", "Cu", "Cu", "Cl", "Cl"], "fractional_positions": [[0.000, 0.000, 0.000], [0.000, 0.500, 0.226], [0.500, 0.000, 0.726], [0.500, 0.500, 0.500], [0.000, 0.000, 0.500], [0.500, 0.500, 0.000], [0.000, 0.500, 0.812], [0.500, 0.000, 0.312]]}

7.
{"formula": "NbGa4Ru5", "functional": "PBE", "state": "relaxed", "e_form_kj_per_mol_atoms": -32.87, "sg": "P4/mmm, No. 123", "final_energy_ev_per_atom": -7.20, "lattice": [[3.095, 0.000, 0.000], [0.000, 3.095, 0.000], [0.000, 0.000, 15.061]], "species": ["Nb", "Ga", "Ga", "Ga", "Ga", "Ru", "Ru", "Ru", "Ru", "Ru"], "fractional_positions": [[0.000, 0.000, 0.000], [0.000, 0.000, 0.207], [0.000, 0.000, 0.401], [0.000, 0.000, 0.599], [0.000, 0.000, 0.793], [0.500, 0.500, 0.103], [0.500, 0.500, 0.301], [0.500, 0.500, 0.500], [0.500, 0.500, 0.699], [0.500, 0.500, 0.897]]}

8.
{"formula": "Ba8TeRh2", "functional": "PBE", "state": "relaxed", "sg": "C2/m, No. 12", "final_energy_ev_per_atom": -3.25, "raw_formation_energy_mev_per_atom": -231.0, "lattice": [[8.208, -4.738, 0.000], [8.208, 4.738, 0.000], [-0.013, 0.000, 7.906]], "species": ["Ba", "Ba", "Ba", "Ba", "Ba", "Ba", "Ba", "Ba", "Te", "Rh", "Rh"], "fractional_positions": [[0.156, 0.672, 0.760], [0.166, 0.166, 0.753], [0.328, 0.328, 0.240], [0.328, 0.844, 0.240], [0.672, 0.156, 0.760], [0.672, 0.672, 0.760], [0.834, 0.834, 0.247], [0.844, 0.328, 0.240], [0.500, 0.500, 0.500], [0.167, 0.167, 0.390], [0.833, 0.833, 0.610]]}